Entry 1:
This record from Alexandria describes a relaxed YHo7Er12 crystal. The functional is PBE-GGA.

CIF file:
```
data_YHo7Er12
_chemical_formula_sum 'Y2 Ho14 Er24'
_cell_length_a 11.167
_cell_length_b 11.167
_cell_length_c 11.167
_cell_angle_alpha 90.00
_cell_angle_beta 90.00
_cell_angle_gamma 90.00
_space_group_name_H-M_alt 'I m -3'
_space_group_IT_number 204
_space_group_name_Hall '-I 2 2 3'
loop_
_atom_site_label
_atom_site_type_symbol
_atom_site_fract_x
_atom_site_fract_y
_atom_site_fract_z
Y1 Y 0.000 0.000 0.000
Ho1 Ho 0.000 0.000 0.500
Ho2 Ho 0.250 0.250 0.250
Er1 Er 0.000 0.251 0.252
```

Output
E_form, eV/atom: 0.74
E above lowest polymorph, eV per formula unit: 8.52


Entry 2:
This record from Alexandria describes a relaxed KMg crystal. The functional is PBE-GGA.

CIF file:
```
data_KMg
_chemical_formula_sum 'K4 Mg4'
_cell_length_a 5.4969
_cell_length_b 5.4969
_cell_length_c 13.6968
_cell_angle_alpha 90.00
_cell_angle_beta 90.00
_cell_angle_gamma 120.00
_space_group_name_H-M_alt 'P 63/m m c'
_space_group_IT_number 194
_space_group_name_Hall '-P 6c 2c'
loop_
_atom_site_label
_atom_site_type_symbol
_atom_site_fract_x
_atom_site_fract_y
_atom_site_fract_z
K1 K 0.3333 0.6667 0.0937
Mg1 Mg 0.0000 0.0000 0.2500
Mg2 Mg 0.3333 0.6667 0.7500
```

Output
E_form, eV/atom: 0.18


Entry 3:
This record from Alexandria describes a relaxed Zr2MnCr crystal. The functional is PBE-GGA.

CIF file:
```
data_Zr2MnCr
_chemical_formula_sum 'Zr4 Mn2 Cr2'
_cell_length_a 3.167
_cell_length_b 4.423
_cell_length_c 9.517
_cell_angle_alpha 90.00
_cell_angle_beta 90.00
_cell_angle_gamma 90.00
_space_group_name_H-M_alt 'I m m 2'
_space_group_IT_number 44
_space_group_name_Hall 'I 2 -2'
loop_
_atom_site_label
_atom_site_type_symbol
_atom_site_fract_x
_atom_site_fract_y
_atom_site_fract_z
Zr1 Zr 0.000 0.000 0.000
Zr2 Zr 0.000 0.500 0.229
Mn1 Mn 0.000 0.500 0.761
Cr1 Cr 0.000 0.000 0.461
```

Output
E_form, eV/atom: 0.12
E above lowest polymorph, eV per formula unit: 0.26


Entry 4:
This record from Alexandria describes a relaxed Pr7Nd4Dy crystal. The functional is PBE-GGA.

CIF file:
```
data_Pr7Nd4Dy
_chemical_formula_sum 'Pr14 Nd8 Dy2'
_cell_length_a 16.559
_cell_length_b 6.142
_cell_length_c 9.493
_cell_angle_alpha 90.00
_cell_angle_beta 115.99
_cell_angle_gamma 90.00
_space_group_name_H-M_alt 'C 1 2/m 1'
_space_group_IT_number 12
_space_group_name_Hall '-C 2y'
loop_
_atom_site_label
_atom_site_type_symbol
_atom_site_fract_x
_atom_site_fract_y
_atom_site_fract_z
Pr1 Pr 0.000 0.000 0.000
Pr2 Pr 0.081 0.500 0.436
Pr3 Pr 0.208 0.500 0.223
Pr4 Pr 0.208 0.500 0.875
Nd1 Nd 0.073 0.000 0.699
Nd2 Nd 0.173 0.000 0.389
Dy1 Dy 0.000 0.500 0.000
```

Output
E_form, eV/atom: 0.20
E above lowest polymorph, eV per formula unit: 2.26


Entry 5:
This record from Alexandria describes a relaxed TaAuCSe2 crystal. The functional is PBE-GGA.

CIF file:
```
data_TaAuCSe2
_chemical_formula_sum 'Ta1 Au1 C1 Se2'
_cell_length_a 4.505
_cell_length_b 4.505
_cell_length_c 4.165
_cell_angle_alpha 90.00
_cell_angle_beta 90.00
_cell_angle_gamma 90.00
_space_group_name_H-M_alt 'P 4/m m m'
_space_group_IT_number 123
_space_group_name_Hall '-P 4 2'
loop_
_atom_site_label
_atom_site_type_symbol
_atom_site_fract_x
_atom_site_fract_y
_atom_site_fract_z
Ta1 Ta 0.000 0.000 0.000
Au1 Au 0.500 0.500 0.000
C1 C 0.500 0.500 0.500
Se1 Se 0.000 0.500 0.500
```

Output
Raw formation energy, eV per atom: 1.22
E above lowest polymorph, eV per formula unit: 0.00